1.
This record from OQMD describes an optimized crystal structure of Lu4GeSbN2. The functional is GGA-PBE.

Calculated values
Total energy   -53.19 eV/cell

Lattice parameters (Å, degrees): 3.4405 3.4405 14.2217 90.00 90.00 120.00
With the nearest neighbours (Å) after each atom.
Space group P-6m2 (No. 187)
Unique sites:
Lu: 0.0000 0.0000 0.1529 [2 per cell]  3 N 2.37
Lu: 0.3333 0.6667 0.3325 [2 per cell]  3 N 2.35
Ge: 0.3333 0.6667 0.0000 [1 per cell]  6 Lu 2.95
Sb: 0.0000 0.0000 0.5000 [1 per cell]  6 Lu 3.10, 6 Sb 3.44
N: 0.6667 0.3333 0.2443 [2 per cell]  6 Lu 2.35-2.37

***

2.
This record from OQMD describes an optimized crystal structure of ReNiBIr. The functional is GGA-PBE.

Calculated values
Total energy   -130.10 eV/cell

Lattice parameters (Å, degrees): 5.6914 5.6914 5.6914 90.00 90.00 90.00
With the nearest neighbours (Å) after each atom.
Space group F-43m (No. 216)
Unique sites:
Re: 0.0000 0.0000 0.0000 [4 per cell]  4 Ni 2.46, 4 B 2.46
Ni: 0.2500 0.2500 0.7500 [4 per cell]  4 Ir 2.46, 4 Re 2.46
B: 0.2500 0.2500 0.2500 [4 per cell]  4 Re 2.46, 4 Ir 2.46
Ir: 0.0000 0.0000 0.5000 [4 per cell]  4 B 2.46, 4 Ni 2.46

***

3.
This record from OQMD describes an optimized crystal structure of Hf2Co. The functional is GGA-PBE.

Calculated values
Total energy   -892.46 eV/cell
Energy of formation   -0.87 eV per formula unit

Lattice parameters (Å, degrees): 11.9975 11.9975 11.9975 90.00 90.00 90.00
With the nearest neighbours (Å) after each atom.
Space group Fd-3m (No. 227, origin choice 2)
Unique sites:
Hf: 0.0000 0.0000 0.0000 [16 per cell]  6 Co 2.71
Hf: 0.0628 0.3750 0.8750 [48 per cell]  2 Co 2.63
Co: 0.0278 0.0278 0.2222 [32 per cell]  6 Hf 2.63-2.71

***

4.
This record from OQMD describes an optimized crystal structure of LuTeNO. The functional is GGA-PBE.

Calculated values
Total energy   -50.38 eV/cell
E above lowest polymorph   46 meV per atom

Lattice parameters (Å, degrees): 4.4809 4.4809 6.8950 90.00 90.00 90.00
With the nearest neighbours (Å) after each atom.
Space group P4/nmm (No. 129, origin choice 2)
Unique sites:
Lu: 0.2500 0.2500 0.1105 [2 per cell]  1 N 2.24, 4 O 2.37
Te: 0.2500 0.7500 0.5000 [2 per cell]  4 N 2.29
N: 0.2500 0.2500 0.4349 [2 per cell]  1 Lu 2.24, 4 Te 2.29
O: 0.2500 0.7500 0.0000 [2 per cell]  4 Lu 2.37

***

5.
This record from OQMD describes an optimized crystal structure of NpBeSb. The functional is GGA-PBE.

Calculated values
Total energy   -81.01 eV/cell

Lattice parameters (Å, degrees): 6.2986 6.2986 6.2986 90.00 90.00 90.00
With the nearest neighbours (Å) after each atom.
Space group F-43m (No. 216)
Unique sites:
Np: 0.0000 0.0000 0.0000 [4 per cell]  4 Be 2.73
Be: 0.2500 0.2500 0.2500 [4 per cell]  4 Sb 2.73, 4 Np 2.73
Sb: 0.0000 0.0000 0.5000 [4 per cell]  4 Be 2.73

***

6.
This record from OQMD describes an optimized crystal structure of ScNbPt2. The functional is GGA-PBE.

Calculated values
Total energy   -124.22 eV/cell
Energy of formation   -2.52 eV per formula unit

Lattice parameters (Å, degrees): 6.4305 6.4305 6.4305 90.00 90.00 90.00
With the nearest neighbours (Å) after each atom.
Space group F-43m (No. 216)
Unique sites:
Sc: 0.0000 0.0000 0.0000 [4 per cell]  4 Nb 2.78, 4 Pt 2.78
Nb: 0.2500 0.2500 0.7500 [4 per cell]  4 Pt 2.78, 4 Sc 2.78
Pt: 0.0000 0.0000 0.5000 [4 per cell]  4 Pt 2.78, 4 Nb 2.78
Pt: 0.2500 0.2500 0.2500 [4 per cell]  4 Sc 2.78, 4 Pt 2.78

***

7.
This record from OQMD describes an optimized crystal structure of HfCoAgPb. The functional is GGA-PBE.

Calculated values
Total energy   -89.45 eV/cell
E above lowest polymorph   146 meV per atom

Lattice parameters (Å, degrees): 6.6301 6.6301 6.6301 90.00 90.00 90.00
With the nearest neighbours (Å) after each atom.
Space group F-43m (No. 216)
Unique sites:
Hf: 0.0000 0.0000 0.0000 [4 per cell]  4 Pb 2.87, 4 Ag 2.87
Co: 0.0000 0.0000 0.5000 [4 per cell]  4 Ag 2.87, 4 Pb 2.87
Ag: 0.2500 0.2500 0.7500 [4 per cell]  4 Hf 2.87, 4 Co 2.87
Pb: 0.2500 0.2500 0.2500 [4 per cell]  4 Co 2.87, 4 Hf 2.87

***

8.
This record from OQMD describes an optimized crystal structure of MgNbTlFe. The functional is GGA-PBE.

Calculated values
Total energy   -83.84 eV/cell
E above lowest polymorph   0 meV per atom

Lattice parameters (Å, degrees): 6.4149 6.4149 6.4149 90.00 90.00 90.00
With the nearest neighbours (Å) after each atom.
Space group F-43m (No. 216)
Unique sites:
Mg: 0.0000 0.0000 0.0000 [4 per cell]  4 Nb 2.78, 4 Tl 2.78
Nb: 0.2500 0.2500 0.2500 [4 per cell]  4 Fe 2.78, 4 Mg 2.78
Tl: 0.2500 0.2500 0.7500 [4 per cell]  4 Mg 2.78, 4 Fe 2.78
Fe: 0.0000 0.0000 0.5000 [4 per cell]  4 Tl 2.78, 4 Nb 2.78

***

9.
This record from OQMD describes an optimized crystal structure of Cs2PbAuCl6. The functional is GGA-PBE.

Calculated values
Total energy   -127.89 eV/cell

Lattice parameters (Å, degrees): 10.8077 10.8077 10.8077 90.00 90.00 90.00
With the nearest neighbours (Å) after each atom.
Space group Fm-3m (No. 225)
Unique sites:
Cs: 0.2500 0.2500 0.2500 [8 per cell]  12 Cl 3.82
Pb: 0.0000 0.0000 0.0000 [4 per cell]  6 Cl 2.77
Au: 0.0000 0.0000 0.5000 [4 per cell]  6 Cl 2.63
Cl: 0.0000 0.0000 0.2565 [24 per cell]  1 Au 2.63, 1 Pb 2.77

***

10.
This record from OQMD describes an optimized crystal structure of Zr5AlSb3. The functional is GGA-PBE.

Calculated values
Total energy   -130.58 eV/cell

Lattice parameters (Å, degrees): 8.7012 8.7012 5.8667 90.00 90.00 120.00
With the nearest neighbours (Å) after each atom.
Space group P6_3/mcm (No. 193)
Unique sites:
Zr: 0.0000 0.2706 0.2500 [6 per cell]  2 Al 2.77, 5 Sb 2.98-3.10
Zr: 0.3333 0.6667 0.0000 [4 per cell]  2 Zr 2.93, 6 Sb 3.07
Al: 0.0000 0.0000 0.0000 [2 per cell]  6 Zr 2.77, 2 Al 2.93
Sb: 0.0000 0.3874 0.7500 [6 per cell]  9 Zr 2.98-3.10

***

11.
This record from OQMD describes an optimized crystal structure of SmPuPd. The functional is GGA-PBE.

Calculated values
Total energy   -99.40 eV/cell
E above lowest polymorph   0 meV per atom
Energy of formation   -0.84 eV per formula unit

Lattice parameters (Å, degrees): 6.9543 6.9543 6.9543 90.00 90.00 90.00
With the nearest neighbours (Å) after each atom.
Space group F-43m (No. 216)
Unique sites:
Sm: 0.0000 0.0000 0.0000 [4 per cell]  4 Pd 3.01
Pu: 0.0000 0.0000 0.5000 [4 per cell]  4 Pd 3.01
Pd: 0.2500 0.2500 0.7500 [4 per cell]  4 Sm 3.01, 4 Pu 3.01

***

12.
This record from OQMD describes an optimized crystal structure of SrNiPt2. The functional is GGA-PBE.

Calculated values
Total energy   -77.52 eV/cell

Lattice parameters (Å, degrees): 6.5792 6.5792 6.5792 90.00 90.00 90.00
With the nearest neighbours (Å) after each atom.
Space group F-43m (No. 216)
Unique sites:
Sr: 0.0000 0.0000 0.0000 [4 per cell]  4 Ni 2.85, 4 Pt 2.85
Ni: 0.2500 0.2500 0.2500 [4 per cell]  4 Sr 2.85, 4 Pt 2.85
Pt: 0.0000 0.0000 0.5000 [4 per cell]  4 Ni 2.85, 4 Pt 2.85
Pt: 0.2500 0.2500 0.7500 [4 per cell]  4 Sr 2.85, 4 Pt 2.85

***

13.
This record from OQMD describes an optimized crystal structure of Nb6Cu7. The functional is GGA-PBE.

Calculated values
Total energy   -257.67 eV/cell
Energy of formation   0.69 eV per formula unit

Lattice parameters (Å, degrees): 4.9587 4.9587 26.7507 90.00 90.00 120.00
With the nearest neighbours (Å) after each atom.
Space group R-3m (No. 166, hexagonal axes)
Unique sites:
Nb: 0.0000 0.0000 0.0464 [6 per cell]  1 Nb 2.48, 6 Cu 2.76
Nb: 0.0000 0.0000 0.1529 [6 per cell]  12 Cu 2.77-2.98, 4 Nb 2.85-2.96
Nb: 0.0000 0.0000 0.3310 [6 per cell]  6 Cu 2.78-2.89, 6 Nb 2.87-3.10
Cu: 0.0000 0.0000 0.5000 [3 per cell]  6 Cu 2.47
Cu: 0.0014 0.5007 0.9086 [18 per cell]  5 Cu 2.47-2.49, 2 Nb 2.76

***

14.
This record from OQMD describes an optimized crystal structure of Nd2Ho2Sc. The functional is GGA-PBE.

Calculated values
Total energy   -23.38 eV/cell
Energy of formation   1.62 eV per formula unit

Lattice parameters (Å, degrees): 5.3335 5.3335 6.9751 90.00 90.00 120.00
With the nearest neighbours (Å) after each atom.
Space group P-3m1 (No. 164)
Unique sites:
Nd: 0.3333 0.6667 0.1477 [2 per cell]  4 Ho 3.28-3.49
Ho: 0.3333 0.6667 0.6178 [2 per cell]  3 Sc 3.19, 4 Nd 3.28-3.49, 3 Ho 3.49
Sc: 0.0000 0.0000 0.5000 [1 per cell]  6 Ho 3.19

***

15.
This record from OQMD describes an optimized crystal structure of PAuO4. The functional is GGA-PBE.

Calculated values
Total energy   -35.61 eV/cell
E above lowest polymorph   85 meV per atom

Lattice parameters (Å, degrees): 3.8791 4.5997 5.3109 69.45 70.04 82.46
With the nearest neighbours (Å) after each atom.
Space group P1 (No. 1)
Unique sites:
P: 0.0000 0.0000 0.0000 [1 per cell]  4 O 1.55-1.58
Au: 0.2697 0.9974 0.4703 [1 per cell]  4 O 2.02-2.05
O: 0.1462 0.7744 0.2397 [1 per cell]  1 P 1.56
O: 0.3045 0.2107 0.7392 [1 per cell]  1 P 1.58
O: 0.6860 0.2100 0.1171 [1 per cell]  1 P 1.55
O: 0.8913 0.8017 0.8505 [1 per cell]  1 P 1.57

***

16.
This record from OQMD describes an optimized crystal structure of NaTlNi. The functional is GGA-PBE.

Calculated values
Total energy   -33.56 eV/cell

Lattice parameters (Å, degrees): 6.3878 6.3878 6.3878 90.00 90.00 90.00
With the nearest neighbours (Å) after each atom.
Space group F-43m (No. 216)
Unique sites:
Na: 0.0000 0.0000 0.0000 [4 per cell]  4 Ni 2.77
Tl: 0.0000 0.0000 0.5000 [4 per cell]  4 Ni 2.77
Ni: 0.2500 0.2500 0.2500 [4 per cell]  4 Tl 2.77, 4 Na 2.77

***

17.
This record from OQMD describes an optimized crystal structure of PrHfBe2Ge2. The functional is GGA-PBE.

Calculated values
Total energy   -34.95 eV/cell

Lattice parameters (Å, degrees): 3.8618 3.8618 8.0155 90.00 90.00 120.00
With the nearest neighbours (Å) after each atom.
Space group P-3m1 (No. 164)
Unique sites:
Pr: 0.0000 0.0000 0.0000 [1 per cell]  6 Ge 3.12, 6 Be 3.18
Hf: 0.0000 0.0000 0.5000 [1 per cell]  6 Be 2.83, 6 Ge 2.88
Be: 0.3333 0.6667 0.2835 [2 per cell]  3 Ge 2.23
Ge: 0.3333 0.6667 0.7273 [2 per cell]  3 Be 2.23

***

18.
This record from OQMD describes an optimized crystal structure of GdDy2Al3AgPt2. The functional is GGA-PBE.

Calculated values
Total energy   -95.70 eV/cell

Lattice parameters (Å, degrees): 3.9238 12.7554 7.3518 90.00 90.00 90.00
With the nearest neighbours (Å) after each atom.
Space group Amm2 (No. 38)
Unique sites:
Gd: 0.0000 0.0000 0.0000 [2 per cell]  4 Pt 2.97, 1 Ag 3.06, 6 Al 3.11-3.32
Dy: 0.0000 0.2078 0.3773 [4 per cell]  4 Pt 2.95, 1 Ag 3.05, 2 Al 3.10
Al: 0.5000 0.0000 0.3278 [2 per cell]  2 Ag 2.72, 2 Pt 2.79
Al: 0.5000 0.1291 0.7129 [4 per cell]  2 Ag 2.73, 2 Pt 2.75-2.78
Ag: 0.0000 0.0000 0.5832 [2 per cell]  6 Al 2.72-2.73
Pt: 0.5000 0.1678 0.0853 [4 per cell]  3 Al 2.75-2.79, 4 Dy 2.95, 2 Gd 2.97

***

19.
This record from OQMD describes an optimized crystal structure of RbHfAgSeS2. The functional is GGA-PBE.

Calculated values
Total energy   -64.78 eV/cell
E above lowest polymorph   0 meV per atom

Lattice parameters (Å, degrees): 8.4870 3.9098 9.9400 90.00 111.71 90.00
With the nearest neighbours (Å) after each atom.
Space group P2_1/m (No. 11)
Unique sites:
Rb: 0.2380 0.2500 0.2116 [2 per cell]  5 S 3.39-3.75, 3 Se 3.57-3.80
Hf: 0.1810 0.7500 0.6554 [2 per cell]  4 S 2.51-2.63, 2 Se 2.73
Ag: 0.4237 0.2500 0.8931 [2 per cell]  1 Se 2.60, 3 S 2.60-2.78, 2 Ag 2.82
Se: 0.3888 0.2500 0.6224 [2 per cell]  1 Ag 2.60, 2 Hf 2.73
S: 0.0311 0.7500 0.3719 [2 per cell]  3 Hf 2.60-2.63
S: 0.2373 0.7500 0.9219 [2 per cell]  1 Hf 2.51, 3 Ag 2.60-2.78

***

20.
This record from OQMD describes an optimized crystal structure of Li2ZrCo. The functional is GGA-PBE.

Calculated values
Total energy   -75.27 eV/cell

Lattice parameters (Å, degrees): 6.1766 6.1766 6.1766 90.00 90.00 90.00
With the nearest neighbours (Å) after each atom.
Space group F-43m (No. 216)
Unique sites:
Li: 0.0000 0.0000 0.0000 [4 per cell]  4 Li 2.67, 4 Co 2.67
Li: 0.2500 0.2500 0.2500 [4 per cell]  4 Zr 2.67, 4 Li 2.67
Zr: 0.0000 0.0000 0.5000 [4 per cell]  4 Co 2.67, 4 Li 2.67
Co: 0.2500 0.2500 0.7500 [4 per cell]  4 Zr 2.67, 4 Li 2.67

***

21.
This record from OQMD describes an optimized crystal structure of AgPtWAu. The functional is GGA-PBE.

Calculated values
Total energy   -94.24 eV/cell
E above lowest polymorph   45 meV per atom
Energy of formation   1.55 eV per formula unit

Lattice parameters (Å, degrees): 6.4282 6.4282 6.4282 90.00 90.00 90.00
With the nearest neighbours (Å) after each atom.
Space group F-43m (No. 216)
Unique sites:
Ag: 0.0000 0.0000 0.0000 [4 per cell]  4 W 2.78, 4 Au 2.78
Pt: 0.0000 0.0000 0.5000 [4 per cell]  4 Au 2.78, 4 W 2.78
W: 0.2500 0.2500 0.7500 [4 per cell]  4 Pt 2.78, 4 Ag 2.78
Au: 0.2500 0.2500 0.2500 [4 per cell]  4 Ag 2.78, 4 Pt 2.78

***

22.
This record from OQMD describes an optimized crystal structure of Na4WS4. The functional is GGA-PBE.

Calculated values
Total energy   -84.02 eV/cell

Lattice parameters (Å, degrees): 7.7930 7.7930 6.9388 90.00 90.00 90.00
With the nearest neighbours (Å) after each atom.
Space group P-42_1c (No. 114)
Unique sites:
Na: 0.0912 0.3021 0.4686 [8 per cell]  5 S 2.81-3.10
W: 0.0000 0.0000 0.0000 [2 per cell]  4 S 2.32
S: 0.0894 0.7677 0.8175 [8 per cell]  1 W 2.32

***

23.
This record from OQMD describes an optimized crystal structure of SrTbAsO. The functional is GGA-PBE.

Calculated values
Total energy   -44.00 eV/cell
E above lowest polymorph   585 meV per atom

Lattice parameters (Å, degrees): 4.9274 4.9274 9.3169 90.00 90.00 90.00
With the nearest neighbours (Å) after each atom.
Space group P4/nmm (No. 129, origin choice 2)
Unique sites:
Sr: 0.2500 0.2500 0.0485 [2 per cell]  4 O 2.50
Tb: 0.2500 0.7500 0.5000 [2 per cell]  4 As 2.81
As: 0.2500 0.2500 0.6449 [2 per cell]  4 Tb 2.81
O: 0.2500 0.7500 0.0000 [2 per cell]  4 Sr 2.50

***

24.
This record from OQMD describes an optimized crystal structure of LaTbNi2P2. The functional is GGA-PBE.

Calculated values
Total energy   -38.74 eV/cell

Lattice parameters (Å, degrees): 3.9566 3.9566 7.9226 90.00 90.00 120.00
With the nearest neighbours (Å) after each atom.
Space group P-3m1 (No. 164)
Unique sites:
La: 0.0000 0.0000 0.0000 [1 per cell]  6 Ni 3.07, 6 P 3.10
Tb: 0.0000 0.0000 0.5000 [1 per cell]  6 P 2.95, 6 Ni 2.98
Ni: 0.3333 0.6667 0.7418 [2 per cell]  3 P 2.29
P: 0.3333 0.6667 0.2654 [2 per cell]  3 Ni 2.29

***

25.
This record from OQMD describes an optimized crystal structure of Li2Mg2Sn2IrPt. The functional is GGA-PBE.

Calculated values
Total energy   -34.39 eV/cell

Lattice parameters (Å, degrees): 4.5554 4.5554 6.4467 90.00 90.00 90.00
With the nearest neighbours (Å) after each atom.
Space group P-4m2 (No. 115)
Unique sites:
Li: 0.0000 0.0000 0.0000 [1 per cell]  4 Sn 2.76, 4 Mg 2.78
Li: 0.5000 0.5000 0.5000 [1 per cell]  4 Mg 2.80, 4 Sn 2.82
Mg: 0.0000 0.5000 0.2480 [2 per cell]  4 Li 2.78-2.80, 2 Ir 2.78, 2 Pt 2.80
Sn: 0.0000 0.5000 0.7573 [2 per cell]  4 Li 2.76-2.82, 2 Ir 2.76, 2 Pt 2.82
Ir: 0.5000 0.5000 0.0000 [1 per cell]  4 Sn 2.76, 4 Mg 2.78
Pt: 0.0000 0.0000 0.5000 [1 per cell]  4 Mg 2.80, 4 Sn 2.82